Ho3Er6Al | PBE | optimized geometry

Cell lengths 8.558, 8.558, 8.558 Å; angles 101.14, 101.14, 101.14 degrees
Positions (direct):
Ho (0.319, 0.911, 0.911)
Ho (0.911, 0.911, 0.319)
Ho (0.089, 0.681, 0.089)
Ho (0.911, 0.319, 0.911)
Ho (0.089, 0.089, 0.681)
Ho (0.681, 0.089, 0.089)
Er (0.341, 0.079, 0.341)
Er (0.921, 0.659, 0.659)
Er (0.500, 0.752, 0.248)
Er (0.659, 0.659, 0.921)
Er (0.248, 0.500, 0.752)
Er (0.248, 0.752, 0.500)
Er (0.752, 0.248, 0.500)
Er (0.752, 0.500, 0.248)
Er (0.341, 0.341, 0.079)
Er (0.500, 0.248, 0.752)
Er (0.079, 0.341, 0.341)
Er (0.659, 0.921, 0.659)
Al (0.000, 0.000, 0.000)
Al (0.500, 0.500, 0.500)

Results
The total DFT energy (no corrections) comes out at -4.45 eV per atom. Its formation energy is 0.4 eV/f.u. As for the symmetry: R-3m (166).